No. 1
Below is ErLu2Hg after structural relaxation, with properties calculated at the PBE level.

The structure in POSCAR format:
```
ErLu2Hg
1.0
3.5356 0.0000 0.0000
1.7678 3.0620 0.0000
1.7678 1.0207 10.3742
Lu Er Hg
2 1 1
direct
0.2570 0.2570 0.2289 Lu
0.7430 0.7430 0.7711 Lu
0.5000 0.5000 0.5000 Er
0.0000 0.0000 0.0000 Hg
```

Summary:
symmetry = R-3m, No. 166
DFT formation energy = -0.15 eV/atom
DOS(E_F) = 4.30 states/eV/f.u.
theoretical density = 10.61 g/cm3
polymorph energy (0 for the lowest one) = 72 meV/atom
total magnetic moment = 0.000 μB/atom



No. 2
Below is ErLu2Hg after structural relaxation, with properties calculated at the PBE level.

The structure in POSCAR format:
```
ErLu2Hg
1.0
4.7142 0.0000 0.0000
0.0000 4.7356 0.0000
0.0000 0.0000 4.7356
Hg Er Lu
1 1 2
direct
0.5000 0.5000 0.5000 Hg
0.5000 0.0000 0.0000 Er
0.0000 0.5000 0.0000 Lu
0.0000 0.0000 0.5000 Lu
```

Summary:
symmetry = P4/mmm, No. 123
DFT formation energy = -0.15 eV/atom
DOS(E_F) = 4.58 states/eV/f.u.
theoretical density = 11.27 g/cm3
polymorph energy (0 for the lowest one) = 81 meV/atom
total magnetic moment = 0.011 μB/atom



No. 3
Below is ErLuHg2 after structural relaxation, with properties calculated at the PBE level.

The structure in POSCAR format:
```
ErLuHg2
1.0
-1.2600 -3.4324 0.6299
2.4097 -0.0471 4.5641
-4.2144 1.9591 2.2453
Lu Hg Er
1 2 1
direct
0.5000 0.0000 0.0000 Lu
0.0000 0.5000 0.0000 Hg
0.0000 0.0000 0.5000 Hg
0.5000 0.5000 0.5000 Er
```

Summary:
symmetry = P4/mmm, No. 123
DFT formation energy = -0.47 eV/atom
DOS(E_F) = 2.78 states/eV/f.u.
theoretical density = 12.49 g/cm3
total magnetic moment = 0.000 μB/atom



No. 4
Below is ErLuMnHg after structural relaxation, with properties calculated at the PBE level.

The structure in POSCAR format:
```
ErLuMnHg
1.0
5.0740 0.0000 0.0000
2.5370 4.3942 0.0000
2.5370 1.4647 4.1429
Lu Er Hg Mn
1 1 1 1
direct
0.7500 0.7500 0.7500 Lu
0.2500 0.2500 0.2500 Er
0.5000 0.5000 0.5000 Hg
0.0000 0.0000 0.0000 Mn
```

Summary:
symmetry = F-43m, No. 216
DFT formation energy = -0.09 eV/atom
DOS(E_F) = 6.19 states/eV/f.u.
theoretical density = 10.75 g/cm3
total magnetic moment = 0.780 μB/atom



No. 5
Below is NdErLuHg after structural relaxation, with properties calculated at the PBE level.

The structure in POSCAR format:
```
NdErLuHg
1.0
-4.6781 -0.1727 -2.7401
-0.3034 -2.7270 -4.6791
-2.8188 -4.6267 -0.2648
Hg Lu Er Nd
1 1 1 1
direct
0.2500 0.2500 0.2500 Hg
0.7500 0.7500 0.7500 Lu
0.0000 0.0000 0.0000 Er
0.5000 0.5000 0.5000 Nd
```

Summary:
symmetry = F-43m, No. 216
DFT formation energy = -0.07 eV/atom
DOS(E_F) = 5.14 states/eV/f.u.
theoretical density = 10.11 g/cm3
total magnetic moment = 0.000 μB/atom



No. 6
Below is ErLuNiHg after structural relaxation, with properties calculated at the PBE level.

The structure in POSCAR format:
```
ErLuNiHg
1.0
4.9707 0.0000 0.0000
2.4854 4.3048 0.0000
2.4854 1.4349 4.0586
Ni Lu Er Hg
1 1 1 1
direct
0.2500 0.2500 0.2500 Ni
0.5000 0.5000 0.5000 Lu
0.0000 0.0000 0.0000 Er
0.7500 0.7500 0.7500 Hg
```

Summary:
symmetry = F-43m, No. 216
DFT formation energy = -0.39 eV/atom
DOS(E_F) = 2.29 states/eV/f.u.
theoretical density = 11.50 g/cm3
total magnetic moment = 0.000 μB/atom